(1)
VASP calculation (PBE) on Sn2PS after structural relaxation.

Structure (POSCAR):
```
Sn2PS
1.0
3.8720 0.0000 0.0000
1.9360 3.3532 0.0000
1.9360 1.1177 7.4645
Sn S P
2 1 1
direct
0.0828 0.0828 0.7517
0.2669 0.2669 0.1993
0.4827 0.4827 0.5518
0.6676 0.6676 0.9972
```

- ΔE to the lowest computed polymorph: 0.000 eV per atom



(2)
VASP calculation (PBE) on SnPS3 after structural relaxation.

Structure (POSCAR):
```
SnPS3
1.0
-7.1303 2.3289 1.5733
-2.1607 -6.2631 -0.5212
-0.4813 -7.5870 9.0495
S P Sn
12 4 4
direct
0.4532 0.0951 0.2968
0.9536 0.2995 0.2688
0.4272 0.7199 0.7108
0.5728 0.7199 0.2108
0.9475 0.9007 0.6893
0.2597 0.6422 0.0041
0.7522 0.3537 0.9959
0.5468 0.0951 0.7968
0.7403 0.6422 0.5041
0.0464 0.2995 0.7688
0.2478 0.3537 0.4959
0.0525 0.9007 0.1893
0.3505 0.8736 0.8131
0.6495 0.8736 0.3131
0.8656 0.1275 0.1815
0.1344 0.1275 0.6815
0.1301 0.7465 0.5502
0.6016 0.1962 0.5427
0.8699 0.7465 0.0502
0.3984 0.1962 0.0427
```



(3)
VASP calculation (PBE) on SnPS3 after structural relaxation.

Structure (POSCAR):
```
SnPS3
1.0
-1.7554 0.2994 7.8999
1.4623 -5.2200 6.0162
4.7583 0.5453 6.5300
Sn S P
2 6 2
direct
0.1835 0.1835 0.1835
0.8165 0.8165 0.8165
0.8349 0.2569 0.6456
0.3544 0.1651 0.7431
0.6456 0.8349 0.2569
0.1651 0.7431 0.3544
0.2569 0.6456 0.8349
0.7431 0.3544 0.1651
0.5523 0.5523 0.5523
0.4477 0.4477 0.4477
```



(4)
VASP calculation (PBE) on SnPS2 after structural relaxation.

Structure (POSCAR):
```
SnPS2
1.0
1.5095 -4.3416 -1.0272
-2.2677 -3.7510 1.7236
-2.5220 -2.7521 -2.8721
S Sn P
2 1 1
direct
0.7500 0.7500 0.7500
0.2500 0.2500 0.2500
0.5000 0.5000 0.5000
0.0000 0.0000 0.0000
```

- ΔE to the lowest computed polymorph: 0.410 eV per atom



(5)
VASP calculation (PBE) on SnP2S2 after structural relaxation.

Structure (POSCAR):
```
SnP2S2
1.0
-1.3129 -0.5719 4.6890
0.5211 -4.8546 -0.4462
4.9030 0.3956 1.4211
P Sn S
2 1 2
direct
0.5000 0.5000 0.5000
0.0000 0.0000 0.5000
0.0000 0.0000 0.0000
0.0000 0.5000 0.0000
0.5000 0.0000 0.0000
```

- ΔE to the lowest computed polymorph: 0.824 eV per atom



(6)
VASP calculation (PBE) on SnPS4 after structural relaxation.

Structure (POSCAR):
```
SnPS4
1.0
5.9131 0.0670 0.0000
-0.1042 5.9126 0.0000
0.0000 0.0000 9.1186
S Sn P
8 2 2
direct
0.7531 0.3453 0.0323
0.2274 0.1573 0.6916
0.1573 0.2274 0.3084
0.2469 0.6547 0.5323
0.3453 0.7531 0.9677
0.6547 0.2469 0.4677
0.8427 0.7726 0.8084
0.7726 0.8427 0.1916
0.7877 0.2123 0.7500
0.2123 0.7877 0.2500
0.6789 0.6789 0.0000
0.3211 0.3211 0.5000
```



(7)
VASP calculation (PBE) on SnP2S2 after structural relaxation.

Structure (POSCAR):
```
SnP2S2
1.0
-4.9517 -0.7927 -1.1139
0.2676 -4.6665 2.1310
-1.2625 1.8797 4.2747
P Sn S
2 1 2
direct
0.5000 0.0000 0.0000
0.0000 0.5000 0.0000
0.0000 0.0000 0.0000
0.0000 0.0000 0.5000
0.5000 0.5000 0.5000
```

- ΔE to the lowest computed polymorph: 0.970 eV per atom



(8)
VASP calculation (PBE) on SnP2S after structural relaxation.

Structure (POSCAR):
```
SnP2S
1.0
2.8286 -3.6983 -0.3620
-0.6735 -3.7307 2.7272
-1.5905 -3.9845 -1.8449
Sn S P
1 1 2
direct
0.5000 0.5000 0.5000
0.0000 0.0000 0.0000
0.7500 0.7500 0.7500
0.2500 0.2500 0.2500
```

- ΔE to the lowest computed polymorph: 0.275 eV per atom



The evaluated total magnetic moment for the records listed, in turn: 0.00; 0.00; 0.00; 0.00; 0.37; 0.00; 0.43; 0.00 μB per formula unit.
The evaluated raw formation energy for the records listed, in turn: -0.13; -0.35; -0.32; 0.43; 1.15; -0.18; 1.30; 0.66 eV per atom.